1.
Density functional theory data (PBE) for an optimized crystal structure of Na3SrHg12.

Cell lengths 4.780, 4.780, 18.601 Å; angles 90.00, 90.00, 90.00 degrees
Positions (direct):
Hg 0.000 0.500 0.868
Hg 0.500 0.000 0.377
Na 0.000 0.000 0.500
Hg 0.000 0.500 0.132
Na 0.000 0.000 0.255
Hg 0.000 0.500 0.377
Hg 0.500 0.500 0.500
Hg 0.500 0.000 0.623
Na 0.000 0.000 0.745
Hg 0.500 0.500 0.000
Hg 0.500 0.500 0.252
Hg 0.500 0.000 0.132
Sr 0.000 0.000 0.000
Hg 0.500 0.500 0.748
Hg 0.500 0.000 0.868
Hg 0.000 0.500 0.623

As for the total moment: 0.000 μB/f.u. As for the space group: P4/mmm, No. 123. The value obtained for the calculated total energy is -0.82 eV/atom. The density of states at the Fermi level is 0.3842 states/eV/atom. For the formation energy, the calculation gives -3.8 eV per formula unit.


2.
Density functional theory data (PBE) for an optimized crystal structure of LiSiW2.

Cell lengths 4.975, 5.266, 2.672 Å; angles 77.60, 81.09, 118.14 degrees
Positions (direct):
Li 0.500 0.500 0.000
W 0.000 0.500 0.500
W 0.000 0.000 0.000
Si 0.500 0.000 0.500

As for the total moment: 0.000 μB/f.u. As for the space group: C2/m, No. 12. The value obtained for the calculated total energy is -8.06 eV/atom. The density of states at the Fermi level is 0.5164 states/eV/atom.